[1]
Ba4Ac2Pt: relaxed, GGA-PBE.

Properties
The calculation puts the total energy at -3.045 eV per atom. The total moment is 0.00 μB/cell. The formation energy is 0.0901 eV/atom. The calculated volume is 55.054 Å³/atom.

Cell lengths 6.064, 6.064, 11.322 Å; angles 105.53, 105.53, 90.00 degrees
Sites, in units of the cell vectors:
Ac (0.661, 0.661, 0.322)
Ac (0.339, 0.339, 0.678)
Ba (0.849, 0.849, 0.699)
Ba (0.151, 0.151, 0.301)
Ba (0.000, 0.500, 0.000)
Ba (0.500, 0.000, 0.000)
Pt (0.000, 0.000, 0.000)

---

[2]
CoMoOs3: relaxed, GGA-PBE.

Properties
The calculation puts the total energy at -8.553 eV per atom. The total moment is 0.00 μB/cell. The formation energy is 1.7722 eV/atom. The calculated volume is 16.434 Å³/atom. The value obtained for the distance to the lowest polymorph of the same formula is 0 meV/atom.

Cell lengths 4.347, 4.347, 4.347 Å; angles 90.00, 90.00, 90.00 degrees
Sites, in units of the cell vectors:
Co (0.000, 0.000, 0.000)
Mo (0.500, 0.500, 0.500)
Os (0.000, 0.500, 0.000)
Os (0.000, 0.000, 0.500)
Os (0.500, 0.000, 0.000)